[1]
First-principles (GGA-PBE) data for a relaxed YTlAs2 crystal, as listed in the Alexandria database.

## Properties
energy relative to the lowest polymorph listed for this composition	0.086	eV per atom

Lattice parameters (Å, degrees): 4.1630 6.5879 6.5879 34.72 90.00 90.00
Atoms (fractional coordinates):
Y (0.0000, 0.0000, 0.0000)
Tl (0.5000, 0.2433, 0.2433)
As (0.0000, 0.6842, 0.6842)
As (0.5000, 0.4607, 0.4607)

[2]
First-principles (GGA-PBE) data for a relaxed TiBPt2 crystal, as listed in the Alexandria database.

Lattice parameters (Å, degrees): 6.4224 6.4224 6.4224 132.42 132.42 69.56
Atoms (fractional coordinates):
Ti (0.0000, 0.0000, 0.0000)
Ti (0.7500, 0.2500, 0.5000)
B (0.2500, 0.7500, 0.5000)
B (0.5000, 0.5000, 0.0000)
Pt (0.1980, 0.6250, 0.0730)
Pt (0.3750, 0.4480, 0.5730)
Pt (0.5520, 0.1250, 0.9270)
Pt (0.8750, 0.8020, 0.4270)

[3]
First-principles (GGA-PBE) data for a relaxed BeAg2Pt crystal, as listed in the Alexandria database.

Lattice parameters (Å, degrees): 2.7666 2.7666 8.8545 90.00 90.00 117.02
Atoms (fractional coordinates):
Be (0.0000, 0.0000, 0.0000)
Ag (0.5000, 0.5000, 0.2202)
Ag (0.5000, 0.5000, 0.7798)
Pt (0.0000, 0.0000, 0.5000)

no.,energy of formation from the pure elements (meV per atom)
1,-534
2,-232
3,143